The following is a GGA+U calculation of a geometry-optimized LiFeF3 structure, from the Alexandria database.

Summary:
As for the magnetization: 4.00 μB per formula unit. The calculation puts the total energy at -5.2813 eV/atom. The excess energy over the best structure of this formula in the dataset comes out at 0.0000 eV/atom. Its space-group type is Cmc2_1. The density of states at the Fermi level comes out at 0.00 states/eV/f.u.

Cell: 7.3450 7.3450 5.0236 Å, 90.00 90.00 154.43°
Sites, in units of the cell vectors:
Li1 0.4563 0.5437 0.9830
Li2 0.5437 0.4563 0.4830
Fe1 0.8321 0.1679 0.5060
Fe2 0.1679 0.8321 0.0060
F1 0.7434 0.2566 0.1877
F2 0.2566 0.7434 0.6877
F3 0.9227 0.0773 0.8114
F4 0.0773 0.9227 0.3114
F5 0.5878 0.4122 0.8429
F6 0.4122 0.5878 0.3429